# 1
Density functional theory data (PBE-GGA) for a relaxed PmNpHgSb crystal.

Magnetization, μB per cell: 21.54
N(E_F), states/eV per cell: 41.63
Uncorrected formation energy, eV/atom: -0.254

The structure in CIF format:
```
data_PmNpHgSb
_symmetry_space_group_name_H-M 'F -4 3 m'
_symmetry_Int_Tables_number 216
_symmetry_space_group_name_Hall 'F -4 2 3'
_cell_length_a 7.5807
_cell_length_b 7.5807
_cell_length_c 7.5807
_cell_angle_alpha 90.00
_cell_angle_beta 90.00
_cell_angle_gamma 90.00
loop_
_atom_site_label
_atom_site_type_symbol
_atom_site_fract_x
_atom_site_fract_y
_atom_site_fract_z
Pm1 Pm 0.0000 0.0000 0.0000
Np1 Np 0.0000 0.0000 0.5000
Hg1 Hg 0.2500 0.2500 0.2500
Sb1 Sb 0.2500 0.2500 0.7500
```

***

# 2
Density functional theory data (PBE-GGA) for a relaxed PmNpSnHg crystal.

Magnetization, μB per cell: 21.38
N(E_F), states/eV per cell: 29.45
DFT formation energy, eV/f.u.: -0.66

The structure in CIF format:
```
data_PmNpSnHg
_symmetry_space_group_name_H-M 'F -4 3 m'
_symmetry_Int_Tables_number 216
_symmetry_space_group_name_Hall 'F -4 2 3'
_cell_length_a 7.6011
_cell_length_b 7.6011
_cell_length_c 7.6011
_cell_angle_alpha 90.00
_cell_angle_beta 90.00
_cell_angle_gamma 90.00
loop_
_atom_site_label
_atom_site_type_symbol
_atom_site_fract_x
_atom_site_fract_y
_atom_site_fract_z
Pm1 Pm 0.0000 0.0000 0.0000
Np1 Np 0.0000 0.0000 0.5000
Sn1 Sn 0.2500 0.2500 0.7500
Hg1 Hg 0.2500 0.2500 0.2500
```

***

# 3
Density functional theory data (PBE-GGA) for a relaxed NpHgPt4 crystal.

Magnetization, μB per cell: 13.29
N(E_F), states/eV per cell: 49.66
DFT formation energy, eV/f.u.: -2.91

The structure in CIF format:
```
data_NpHgPt4
_symmetry_space_group_name_H-M 'F -4 3 m'
_symmetry_Int_Tables_number 216
_symmetry_space_group_name_Hall 'F -4 2 3'
_cell_length_a 7.6379
_cell_length_b 7.6379
_cell_length_c 7.6379
_cell_angle_alpha 90.00
_cell_angle_beta 90.00
_cell_angle_gamma 90.00
loop_
_atom_site_label
_atom_site_type_symbol
_atom_site_fract_x
_atom_site_fract_y
_atom_site_fract_z
Np1 Np 0.0000 0.0000 0.0000
Hg1 Hg 0.2500 0.2500 0.7500
Pt1 Pt 0.1246 0.1246 0.3754
```

***

# 4
Density functional theory data (PBE-GGA) for a relaxed NpHgPt crystal.

Magnetization, μB per cell: 17.15
N(E_F), states/eV per cell: 49.32
DFT formation energy, eV/f.u.: -0.47

The structure in CIF format:
```
data_NpHgPt
_symmetry_space_group_name_H-M 'F -4 3 m'
_symmetry_Int_Tables_number 216
_symmetry_space_group_name_Hall 'F -4 2 3'
_cell_length_a 6.7041
_cell_length_b 6.7041
_cell_length_c 6.7041
_cell_angle_alpha 90.00
_cell_angle_beta 90.00
_cell_angle_gamma 90.00
loop_
_atom_site_label
_atom_site_type_symbol
_atom_site_fract_x
_atom_site_fract_y
_atom_site_fract_z
Np1 Np 0.0000 0.0000 0.0000
Hg1 Hg 0.0000 0.0000 0.5000
Pt1 Pt 0.2500 0.2500 0.7500
```

***

# 5
Density functional theory data (PBE-GGA) for a relaxed Np2HgPt9 crystal.

Magnetization, μB per cell: 5.28
N(E_F), states/eV per cell: 29.80
DFT formation energy, eV/f.u.: -5.10

The structure in CIF format:
```
data_Np2HgPt9
_symmetry_space_group_name_H-M 'P 4/m m m'
_symmetry_Int_Tables_number 123
_symmetry_space_group_name_Hall '-P 4 2'
_cell_length_a 4.1338
_cell_length_b 4.1338
_cell_length_c 12.3068
_cell_angle_alpha 90.00
_cell_angle_beta 90.00
_cell_angle_gamma 90.00
loop_
_atom_site_label
_atom_site_type_symbol
_atom_site_fract_x
_atom_site_fract_y
_atom_site_fract_z
Np1 Np 0.0000 0.0000 0.1711
Hg1 Hg 0.0000 0.0000 0.5000
Pt1 Pt 0.0000 0.5000 0.0000
Pt2 Pt 0.0000 0.5000 0.3313
Pt3 Pt 0.5000 0.5000 0.1673
Pt4 Pt 0.5000 0.5000 0.5000
```

***

# 6
Density functional theory data (PBE-GGA) for a relaxed NpHgPtRh crystal.

Magnetization, μB per cell: 13.01
N(E_F), states/eV per cell: 32.95
DFT formation energy, eV/f.u.: -1.06

The structure in CIF format:
```
data_NpHgPtRh
_symmetry_space_group_name_H-M 'F -4 3 m'
_symmetry_Int_Tables_number 216
_symmetry_space_group_name_Hall 'F -4 2 3'
_cell_length_a 6.7454
_cell_length_b 6.7454
_cell_length_c 6.7454
_cell_angle_alpha 90.00
_cell_angle_beta 90.00
_cell_angle_gamma 90.00
loop_
_atom_site_label
_atom_site_type_symbol
_atom_site_fract_x
_atom_site_fract_y
_atom_site_fract_z
Np1 Np 0.0000 0.0000 0.0000
Hg1 Hg 0.0000 0.0000 0.5000
Pt1 Pt 0.2500 0.2500 0.2500
Rh1 Rh 0.2500 0.2500 0.7500
```

***

# 7
Density functional theory data (PBE-GGA) for a relaxed Pu2NpHg crystal.

Magnetization, μB per cell: 18.45
N(E_F), states/eV per cell: 34.02
Excess energy over the best structure of this formula in the dataset, meV per atom: 245.5
DFT formation energy, eV/f.u.: 1.95

The structure in CIF format:
```
data_Pu2NpHg
_symmetry_space_group_name_H-M 'R -3 m'
_symmetry_Int_Tables_number 166
_symmetry_space_group_name_Hall '-R 3 2"'
_cell_length_a 3.7084
_cell_length_b 3.7084
_cell_length_c 26.4830
_cell_angle_alpha 90.00
_cell_angle_beta 90.00
_cell_angle_gamma 120.00
loop_
_atom_site_label
_atom_site_type_symbol
_atom_site_fract_x
_atom_site_fract_y
_atom_site_fract_z
Pu1 Pu 0.0000 0.0000 0.1183
Np1 Np 0.0000 0.0000 0.5000
Hg1 Hg 0.0000 0.0000 0.0000
```

***

# 8
Density functional theory data (PBE-GGA) for a relaxed Pu2NpHg crystal.

Magnetization, μB per cell: 13.48
N(E_F), states/eV per cell: 11.88
Excess energy over the best structure of this formula in the dataset, meV per atom: 0.0
DFT formation energy, eV/f.u.: 0.97

The structure in CIF format:
```
data_Pu2NpHg
_symmetry_space_group_name_H-M 'P 4/m m m'
_symmetry_Int_Tables_number 123
_symmetry_space_group_name_Hall '-P 4 2'
_cell_length_a 3.2097
_cell_length_b 3.2097
_cell_length_c 9.1834
_cell_angle_alpha 90.00
_cell_angle_beta 90.00
_cell_angle_gamma 90.00
loop_
_atom_site_label
_atom_site_type_symbol
_atom_site_fract_x
_atom_site_fract_y
_atom_site_fract_z
Pu1 Pu 0.0000 0.0000 0.2335
Np1 Np 0.5000 0.5000 0.0000
Hg1 Hg 0.5000 0.5000 0.5000
```